DFT (PBE) results for a relaxed PrPaGa crystal.

Results
For the volume, the calculation gives 25.2 Å³/atom. The crystal system is trigonal. The calculation puts the calculated formation energy at 0.115 eV per atom.

Lattice parameters (Å, degrees): 5.097 5.097 3.360 90.00 90.00 120.00
Sites, in units of the cell vectors:
Pr1 0.000 0.000 0.000
Pa1 0.333 0.667 0.408
Ga1 0.667 0.333 0.706

DFT (PBE) results for a relaxed PrPaZnGa crystal.

Results
For the volume, the calculation gives 23.9 Å³/atom. The crystal system is cubic. The calculation puts the calculated formation energy at -0.114 eV per atom.

Lattice parameters (Å, degrees): 5.132 5.132 5.132 60.00 60.00 60.00
Sites, in units of the cell vectors:
Pr1 0.000 0.000 0.000
Pa1 0.500 0.500 0.500
Zn1 0.250 0.250 0.250
Ga1 0.750 0.750 0.750

DFT (PBE) results for a relaxed Pa4Ga12Pt crystal.

Results
For the volume, the calculation gives 19.1 Å³/atom. The crystal system is cubic. The calculation puts the calculated formation energy at -0.453 eV per atom.

Lattice parameters (Å, degrees): 7.499 7.499 7.499 109.47 109.47 109.47
Sites, in units of the cell vectors:
Pa1 0.000 0.000 0.500
Pa2 0.000 0.500 0.000
Pa3 0.500 0.000 0.000
Pa4 0.500 0.500 0.500
Ga1 0.000 0.299 0.299
Ga2 0.000 0.701 0.701
Ga3 0.250 0.500 0.750
Ga4 0.250 0.750 0.500
Ga5 0.299 0.000 0.299
Ga6 0.299 0.299 0.000
Ga7 0.500 0.250 0.750
Ga8 0.500 0.750 0.250
Ga9 0.701 0.000 0.701
Ga10 0.701 0.701 0.000
Ga11 0.750 0.250 0.500
Ga12 0.750 0.500 0.250
Pt1 0.000 0.000 0.000

DFT (PBE) results for a relaxed Pa2Ga5Pt3 crystal.

Results
For the volume, the calculation gives 18.4 Å³/atom. The crystal system is orthorhombic. The calculation puts the calculated formation energy at -0.767 eV per atom.

Lattice parameters (Å, degrees): 12.496 12.496 6.829 90.00 90.00 159.80
Sites, in units of the cell vectors:
Pa1 0.017 0.983 0.500
Pa2 0.328 0.672 0.525
Pa3 0.672 0.328 0.025
Pa4 0.983 0.017 0.000
Ga1 0.105 0.895 0.841
Ga2 0.207 0.793 0.333
Ga3 0.209 0.791 0.736
Ga4 0.378 0.622 0.996
Ga5 0.448 0.552 0.676
Ga6 0.552 0.448 0.176
Ga7 0.622 0.378 0.496
Ga8 0.791 0.209 0.236
Ga9 0.793 0.207 0.833
Ga10 0.895 0.105 0.341
Pt1 0.106 0.894 0.240
Pt2 0.274 0.726 0.037
Pt3 0.449 0.551 0.283
Pt4 0.551 0.449 0.783
Pt5 0.726 0.274 0.537
Pt6 0.894 0.106 0.740

DFT (PBE) results for a relaxed PaGaPt3 crystal.

Results
For the volume, the calculation gives 19.9 Å³/atom. The crystal system is trigonal. The calculation puts the calculated formation energy at -0.622 eV per atom.

Lattice parameters (Å, degrees): 8.441 8.441 8.441 37.41 37.41 37.41
Sites, in units of the cell vectors:
Pa1 0.197 0.197 0.197
Pa2 0.803 0.803 0.803
Ga1 0.325 0.325 0.325
Ga2 0.675 0.675 0.675
Pt1 0.248 0.747 0.747
Pt2 0.253 0.253 0.752
Pt3 0.253 0.752 0.253
Pt4 0.747 0.248 0.747
Pt5 0.747 0.747 0.248
Pt6 0.752 0.253 0.253

DFT (PBE) results for a relaxed Pa2Ga5Pt3 crystal.

Results
For the volume, the calculation gives 18.6 Å³/atom. The crystal system is orthorhombic. The calculation puts the calculated formation energy at -0.701 eV per atom.

Lattice parameters (Å, degrees): 8.488 8.488 8.488 103.41 90.75 139.03
Sites, in units of the cell vectors:
Pa1 0.131 0.231 0.362
Pa2 0.369 0.731 0.101
Pa3 0.631 0.269 0.899
Pa4 0.869 0.769 0.638
Ga1 0.021 0.750 0.271
Ga2 0.109 0.648 0.757
Ga3 0.250 0.250 0.000
Ga4 0.391 0.148 0.539
Ga5 0.479 0.750 0.729
Ga6 0.521 0.250 0.271
Ga7 0.609 0.852 0.461
Ga8 0.750 0.750 0.000
Ga9 0.891 0.352 0.243
Ga10 0.979 0.250 0.729
Pt1 0.138 0.875 0.013
Pt2 0.250 0.750 0.500
Pt3 0.362 0.375 0.738
Pt4 0.638 0.625 0.262
Pt5 0.750 0.250 0.500
Pt6 0.862 0.125 0.987

DFT (PBE) results for a relaxed Pa3Ga2Pt7 crystal.

Results
For the volume, the calculation gives 19.2 Å³/atom. The crystal system is monoclinic. The calculation puts the calculated formation energy at -0.810 eV per atom.

Lattice parameters (Å, degrees): 4.154 3.982 14.079 90.00 98.47 90.00
Sites, in units of the cell vectors:
Pa1 0.000 0.000 0.000
Pa2 0.316 0.500 0.632
Pa3 0.684 0.500 0.368
Ga1 0.131 0.000 0.263
Ga2 0.869 0.000 0.737
Pt1 0.076 0.500 0.152
Pt2 0.219 0.000 0.437
Pt3 0.423 0.000 0.846
Pt4 0.500 0.500 0.000
Pt5 0.577 0.000 0.154
Pt6 0.781 0.000 0.563
Pt7 0.924 0.500 0.848

DFT (PBE) results for a relaxed PaGa5Pt7 crystal.

Results
For the volume, the calculation gives 16.6 Å³/atom. The crystal system is orthorhombic. The calculation puts the calculated formation energy at -0.621 eV per atom.

Lattice parameters (Å, degrees): 6.872 6.872 6.872 133.32 96.12 101.96
Sites, in units of the cell vectors:
Pa1 0.000 0.000 0.000
Ga1 0.004 0.017 0.497
Ga2 0.004 0.507 0.987
Ga3 0.242 0.742 0.500
Ga4 0.520 0.017 0.013
Ga5 0.520 0.507 0.503
Pt1 0.219 0.523 0.696
Pt2 0.319 0.319 0.000
Pt3 0.328 0.998 0.330
Pt4 0.668 0.998 0.670
Pt5 0.675 0.675 0.000
Pt6 0.775 0.275 0.500
Pt7 0.828 0.523 0.304

DFT (PBE) results for a relaxed Pa2Ga2Pt crystal.

Results
For the volume, the calculation gives 21.0 Å³/atom. The crystal system is monoclinic. The calculation puts the calculated formation energy at -0.583 eV per atom.

Lattice parameters (Å, degrees): 5.589 5.589 10.201 112.56 112.56 46.59
Sites, in units of the cell vectors:
Pa1 0.014 0.014 0.328
Pa2 0.180 0.180 0.109
Pa3 0.820 0.820 0.891
Pa4 0.986 0.986 0.672
Ga1 0.360 0.360 0.441
Ga2 0.468 0.468 0.113
Ga3 0.532 0.532 0.887
Ga4 0.640 0.640 0.559
Pt1 0.275 0.275 0.670
Pt2 0.725 0.725 0.330

DFT (PBE) results for a relaxed Pa3Ga2Pt6 crystal.

Results
For the volume, the calculation gives 19.3 Å³/atom. The crystal system is tetragonal. The calculation puts the calculated formation energy at -0.851 eV per atom.

Lattice parameters (Å, degrees): 12.750 12.750 12.750 161.31 161.31 26.54
Sites, in units of the cell vectors:
Pa1 0.000 0.000 0.000
Pa2 0.197 0.197 0.000
Pa3 0.803 0.803 0.000
Ga1 0.452 0.452 0.000
Ga2 0.548 0.548 0.000
Pt1 0.107 0.607 0.500
Pt2 0.312 0.312 0.000
Pt3 0.393 0.893 0.500
Pt4 0.607 0.107 0.500
Pt5 0.688 0.688 0.000
Pt6 0.893 0.393 0.500

DFT (PBE) results for a relaxed Pa2Ga5Pt4 crystal.

Results
For the volume, the calculation gives 18.7 Å³/atom. The crystal system is orthorhombic. The calculation puts the calculated formation energy at -0.692 eV per atom.

Lattice parameters (Å, degrees): 9.638 8.921 5.257 81.22 66.16 32.62
Sites, in units of the cell vectors:
Pa1 0.113 0.113 0.887
Pa2 0.887 0.887 0.113
Ga1 0.000 0.000 0.500
Ga2 0.250 0.250 0.250
Ga3 0.500 0.500 0.000
Ga4 0.500 0.500 0.500
Ga5 0.750 0.750 0.750
Pt1 0.207 0.529 0.471
Pt2 0.471 0.793 0.207
Pt3 0.529 0.207 0.793
Pt4 0.793 0.471 0.529

DFT (PBE) results for a relaxed Pa2Ga8Pt crystal.

Results
For the volume, the calculation gives 19.3 Å³/atom. The crystal system is tetragonal. The calculation puts the calculated formation energy at -0.483 eV per atom.

Lattice parameters (Å, degrees): 4.358 4.358 11.166 90.00 90.00 90.00
Sites, in units of the cell vectors:
Pa1 0.000 0.000 0.189
Pa2 0.000 0.000 0.811
Ga1 0.000 0.500 0.000
Ga2 0.000 0.500 0.374
Ga3 0.000 0.500 0.626
Ga4 0.500 0.000 0.000
Ga5 0.500 0.000 0.374
Ga6 0.500 0.000 0.626
Ga7 0.500 0.500 0.189
Ga8 0.500 0.500 0.811
Pt1 0.000 0.000 0.500